Model 1:
This record from Alexandria via LeMat-Bulk describes a crystal of Cr2PBr relaxed with PBEsol. The functional is meta-GGA SCAN.

Lattice parameters (Å, degrees): 3.011 3.011 6.257 90.00 90.00 90.00
Space group P4/mmm (No. 123)
One atom of each set of equivalent atoms:
Cr  0.000  0.000  0.173 (multiplicity 2)
P  0.500  0.500  0.000 (multiplicity 1)
Br  0.500  0.500  0.500 (multiplicity 1)

Model 2:
This record from Alexandria via LeMat-Bulk describes a crystal of Cr2PBr relaxed with PBEsol. The functional is meta-GGA SCAN.

Lattice parameters (Å, degrees): 4.511 4.511 3.124 90.00 90.00 90.00
Space group P4/mmm (No. 123)
One atom of each set of equivalent atoms:
Cr  0.000  0.500  0.000 (multiplicity 2)
P  0.000  0.000  0.500 (multiplicity 1)
Br  0.500  0.500  0.500 (multiplicity 1)

Short version: model 2, model 1, most stable first.

Model 1:
This record from Alexandria via LeMat-Bulk describes a crystal of CrPb2Br relaxed with PBEsol. The functional is meta-GGA SCAN.

Lattice parameters (Å, degrees): 4.611 4.611 9.435 90.00 90.00 90.00
Space group I4/mmm (No. 139)
One atom of each set of equivalent atoms:
Cr  0.000  0.000  0.000 (multiplicity 2)
Pb  0.000  0.500  0.250 (multiplicity 4)
Br  0.000  0.000  0.500 (multiplicity 2)

Model 2:
This record from Alexandria via LeMat-Bulk describes a crystal of CrPb2Br relaxed with PBEsol. The functional is meta-GGA SCAN.

Lattice parameters (Å, degrees): 3.492 3.492 8.019 90.00 90.00 90.00
Space group P4/mmm (No. 123)
One atom of each set of equivalent atoms:
Cr  0.000  0.000  0.000 (multiplicity 1)
Pb  0.500  0.500  0.220 (multiplicity 2)
Br  0.000  0.000  0.500 (multiplicity 1)

Short version: model 2, model 1, most stable first.

Model 1:
This record from Alexandria via LeMat-Bulk describes a crystal of CrPtBr2 relaxed with PBEsol. The functional is meta-GGA SCAN.

Lattice parameters (Å, degrees): 3.117 3.117 8.111 90.00 90.00 90.00
Space group P4mm (No. 99)
One atom of each set of equivalent atoms:
Cr  0.000  0.000  0.000 (multiplicity 1)
Pt  0.500  0.500  0.177 (multiplicity 1)
Br  0.000  0.000  0.404 (multiplicity 1)
Br  0.500  0.500  0.796 (multiplicity 1)

Model 2:
This record from Alexandria via LeMat-Bulk describes a crystal of CrPtBr2 relaxed with PBEsol. The functional is meta-GGA SCAN.

Lattice parameters (Å, degrees): 3.676 3.631 6.712 90.00 91.79 90.00
Space group Pm (No. 6)
One atom of each set of equivalent atoms:
Cr  0.000  0.000  0.000 (multiplicity 1)
Pt  0.495  0.500  0.907 (multiplicity 1)
Br  0.220  0.000  0.651 (multiplicity 1)
Br  0.766  0.500  0.247 (multiplicity 1)

Short version: model 2, model 1, most stable first.

Model 1:
This record from Alexandria via LeMat-Bulk describes a crystal of CrReBr2 relaxed with PBEsol. The functional is meta-GGA SCAN.

Lattice parameters (Å, degrees): 4.495 4.495 3.229 90.00 90.00 90.00
Space group P4/mmm (No. 123)
One atom of each set of equivalent atoms:
Cr  0.000  0.000  0.000 (multiplicity 1)
Re  0.500  0.500  0.000 (multiplicity 1)
Br  0.000  0.500  0.500 (multiplicity 2)

Model 2:
This record from Alexandria via LeMat-Bulk describes a crystal of CrReBr2 relaxed with PBEsol. The functional is meta-GGA SCAN.

Lattice parameters (Å, degrees): 3.0112 3.0112 24.3995 90.00 90.00 120.00
Space group R-3m (No. 166, hexagonal axes)
One atom of each set of equivalent atoms:
Cr  0.0000  0.0000  0.0000 (multiplicity 3)
Re  0.0000  0.0000  0.5000 (multiplicity 3)
Br  0.0000  0.0000  0.2559 (multiplicity 6)

Model 3:
This record from Alexandria via LeMat-Bulk describes a crystal of CrReBr2 relaxed with PBEsol. The functional is meta-GGA SCAN.

Lattice parameters (Å, degrees): 3.2349 3.2349 26.4359 90.00 90.00 120.00
Space group R3m (No. 160, hexagonal axes)
One atom of each set of equivalent atoms:
Cr  0.0000  0.0000  0.0000 (multiplicity 3)
Re  0.0000  0.0000  0.2795 (multiplicity 3)
Br  0.0000  0.0000  0.5343 (multiplicity 3)
Br  0.0000  0.0000  0.7364 (multiplicity 3)

Short version: model 3, model 2, model 1, most stable first.

Model 1:
This record from Alexandria via LeMat-Bulk describes a crystal of CrRuBr2 relaxed with PBEsol. The functional is meta-GGA SCAN.

Lattice parameters (Å, degrees): 6.252 8.207 3.433 90.00 120.94 90.00
Space group C2/m (No. 12)
One atom of each set of equivalent atoms:
Cr  0.000  0.000  0.000 (multiplicity 2)
Ru  0.000  0.500  0.000 (multiplicity 2)
Br  0.250  0.250  0.000 (multiplicity 4)

Model 2:
This record from Alexandria via LeMat-Bulk describes a crystal of CrRuBr2 relaxed with PBEsol. The functional is meta-GGA SCAN.

Lattice parameters (Å, degrees): 3.260 3.260 6.539 90.00 90.00 90.00
Space group P4/mmm (No. 123)
One atom of each set of equivalent atoms:
Cr  0.000  0.000  0.000 (multiplicity 1)
Ru  0.000  0.000  0.500 (multiplicity 1)
Br  0.500  0.500  0.248 (multiplicity 2)

Model 3:
This record from Alexandria via LeMat-Bulk describes a crystal of CrRuBr2 relaxed with PBEsol. The functional is meta-GGA SCAN.

Lattice parameters (Å, degrees): 3.1881 3.1881 24.1149 90.00 90.00 120.00
Space group R-3m (No. 166, hexagonal axes)
One atom of each set of equivalent atoms:
Cr  0.0000  0.0000  0.0000 (multiplicity 3)
Ru  0.0000  0.0000  0.5000 (multiplicity 3)
Br  0.0000  0.0000  0.4016 (multiplicity 6)

Short version: model 1, model 3, model 2, most stable first.

Model 1:
This record from Alexandria via LeMat-Bulk describes a crystal of Sc2CrBr relaxed with PBEsol. The functional is meta-GGA SCAN.

Lattice parameters (Å, degrees): 3.219 3.219 7.501 90.00 90.00 90.00
Space group P4/mmm (No. 123)
One atom of each set of equivalent atoms:
Sc  0.000  0.000  0.211 (multiplicity 2)
Cr  0.500  0.500  0.000 (multiplicity 1)
Br  0.500  0.500  0.500 (multiplicity 1)

Model 2:
This record from Alexandria via LeMat-Bulk describes a crystal of Sc2CrBr relaxed with PBEsol. The functional is meta-GGA SCAN.

Lattice parameters (Å, degrees): 6.834 6.834 6.834 90.00 90.00 90.00
Space group Fm-3m (No. 225)
One atom of each set of equivalent atoms:
Sc  0.250  0.250  0.250 (multiplicity 8)
Cr  0.000  0.000  0.000 (multiplicity 4)
Br  0.000  0.000  0.500 (multiplicity 4)

Short version: model 1, model 2, most stable first.